No. 1
Density functional theory data (PBE) for LaPaSb after structural relaxation.

Results
**Raw formation energy**: -0.29 eV per atom
**Magnetic moment**: 0.74 μB/f.u.
**E above lowest polymorph**: 0.0 meV/atom

a b c (Å): 4.1998 4.1998 9.8144
angles (deg): 90.00 90.00 90.00
Space group I4mm (No. 107)
Symmetry-distinct sites (fractional):
1 La 0.0000 0.0000 0.0000 [2 per cell]
2 Pa 0.0000 0.0000 0.2848 [2 per cell]
3 Sb 0.0000 0.0000 0.6498 [2 per cell]

***

No. 2
Density functional theory data (PBE) for La2PaSb3 after structural relaxation.

Results
**Raw formation energy**: -0.99 eV per atom
**Magnetic moment**: 0.83 μB/f.u.

a b c (Å): 9.0768 12.8192 27.1451
angles (deg): 90.00 90.00 90.00
Space group Fddd (No. 70, origin choice 2)
Symmetry-distinct sites (fractional):
1 La 0.1250 0.1250 0.0433 [16 per cell]
2 La 0.1250 0.1250 0.3731 [16 per cell]
3 Pa 0.1250 0.1250 0.5415 [16 per cell]
4 Sb 0.1112 0.3750 0.8750 [16 per cell]
5 Sb 0.1181 0.3687 0.7107 [32 per cell]

***

No. 3
Density functional theory data (PBE) for LaPaSb after structural relaxation.

Results
**Raw formation energy**: -0.05 eV per atom
**Magnetic moment**: 1.91 μB/f.u.
**E above lowest polymorph**: 237.3 meV/atom

a b c (Å): 5.3997 5.3997 3.4401
angles (deg): 90.00 90.00 120.00
Space group P3m1 (No. 156)
Symmetry-distinct sites (fractional):
1 La 0.0000 0.0000 0.0000 [1 per cell]
2 Pa 0.3333 0.6667 0.5558 [1 per cell]
3 Sb 0.6667 0.3333 0.3338 [1 per cell]

***

No. 4
Density functional theory data (PBE) for LaPa3Sb4 after structural relaxation.

Results
**Raw formation energy**: -0.62 eV per atom
**Magnetic moment**: 1.99 μB/f.u.

a b c (Å): 8.8794 12.5170 4.4097
angles (deg): 90.00 90.00 90.00
Space group Cmmm (No. 65)
Symmetry-distinct sites (fractional):
1 La 0.0000 0.0000 0.0000 [2 per cell]
2 Pa 0.0000 0.5000 0.0000 [2 per cell]
3 Pa 0.2500 0.2500 0.5000 [4 per cell]
4 Sb 0.0000 0.2541 0.0000 [4 per cell]
5 Sb 0.2410 0.5000 0.5000 [4 per cell]

***

No. 5
Density functional theory data (PBE) for La5PaSb6 after structural relaxation.

Results
**Raw formation energy**: -1.14 eV per atom
**Magnetic moment**: 0.38 μB/f.u.

a b c (Å): 7.9221 13.7210 7.9176
angles (deg): 90.00 109.48 90.00
Space group C2/m (No. 12)
Symmetry-distinct sites (fractional):
1 La 0.0000 0.0000 0.0000 [2 per cell]
2 La 0.0000 0.1654 0.5000 [4 per cell]
3 La 0.0000 0.3293 0.0000 [4 per cell]
4 Pa 0.0000 0.5000 0.5000 [2 per cell]
5 Sb 0.2382 0.5000 0.2555 [4 per cell]
6 Sb 0.2408 0.3394 0.7419 [8 per cell]

***

No. 6
Density functional theory data (PBE) for La5Pa3Sb8 after structural relaxation.

Results
**Raw formation energy**: -0.95 eV per atom
**Magnetic moment**: 2.92 μB/f.u.

a b c (Å): 9.0189 9.0189 22.3006
angles (deg): 90.00 90.00 120.00
Space group R-3m (No. 166, hexagonal axes)
Symmetry-distinct sites (fractional):
1 La 0.0000 0.0000 0.0000 [3 per cell]
2 La 0.0000 0.0000 0.5000 [3 per cell]
3 La 0.0000 0.5000 0.0000 [9 per cell]
4 Pa 0.0000 0.5000 0.5000 [9 per cell]
5 Sb 0.0000 0.0000 0.2451 [6 per cell]
6 Sb 0.0078 0.5039 0.7539 [18 per cell]

***

No. 7
Density functional theory data (PBE) for La2ScPaSb4 after structural relaxation.

Results
**Raw formation energy**: -0.97 eV per atom
**Magnetic moment**: 0.63 μB/f.u.

a b c (Å): 7.6411 4.4517 7.7498
angles (deg): 90.00 109.45 90.00
Space group P2/m (No. 10)
Symmetry-distinct sites (fractional):
1 La 0.0000 0.0000 0.0000 [1 per cell]
2 La 0.5000 0.5000 0.0000 [1 per cell]
3 Sc 0.0000 0.5000 0.5000 [1 per cell]
4 Pa 0.5000 0.0000 0.5000 [1 per cell]
5 Sb 0.2367 0.0000 0.7251 [2 per cell]
6 Sb 0.2504 0.5000 0.2701 [2 per cell]

***

No. 8
Density functional theory data (PBE) for La2SmPaSb4 after structural relaxation.

Results
**Raw formation energy**: -1.04 eV per atom
**Magnetic moment**: 0.85 μB/f.u.

a b c (Å): 7.8035 4.5070 7.8501
angles (deg): 90.00 109.28 90.00
Space group P2/m (No. 10)
Symmetry-distinct sites (fractional):
1 La 0.0000 0.0000 0.0000 [1 per cell]
2 La 0.5000 0.5000 0.0000 [1 per cell]
3 Sm 0.0000 0.5000 0.5000 [1 per cell]
4 Pa 0.5000 0.0000 0.5000 [1 per cell]
5 Sb 0.2512 0.0000 0.7381 [2 per cell]
6 Sb 0.2581 0.5000 0.2636 [2 per cell]

***

No. 9
Density functional theory data (PBE) for Sr3La2PaSb6 after structural relaxation.

Results
**Raw formation energy**: -0.98 eV per atom
**Magnetic moment**: 0.00 μB/f.u.

a b c (Å): 8.0686 14.0064 8.0414
angles (deg): 90.00 109.69 90.00
Space group C2/m (No. 12)
Symmetry-distinct sites (fractional):
1 Sr 0.0000 0.0000 0.0000 [2 per cell]
2 Sr 0.0000 0.3277 0.0000 [4 per cell]
3 La 0.0000 0.1659 0.5000 [4 per cell]
4 Pa 0.0000 0.5000 0.5000 [2 per cell]
5 Sb 0.2344 0.3410 0.7273 [8 per cell]
6 Sb 0.2397 0.5000 0.2700 [4 per cell]

***

No. 10
Density functional theory data (PBE) for LaTb2PaSb4 after structural relaxation.

Results
**Raw formation energy**: -0.99 eV per atom
**Magnetic moment**: 0.69 μB/f.u.

a b c (Å): 6.2878 6.2878 12.5603
angles (deg): 90.00 90.00 90.00
Space group I-4m2 (No. 119)
Symmetry-distinct sites (fractional):
1 La 0.0000 0.0000 0.0000 [2 per cell]
2 Tb 0.0000 0.0000 0.5000 [2 per cell]
3 Tb 0.0000 0.5000 0.2500 [2 per cell]
4 Pa 0.0000 0.5000 0.7500 [2 per cell]
5 Sb 0.0000 0.0000 0.2545 [4 per cell]
6 Sb 0.0000 0.5000 0.5036 [4 per cell]

***

No. 11
Density functional theory data (PBE) for LaTh2PaSb4 after structural relaxation.

Results
**Raw formation energy**: -0.87 eV per atom
**Magnetic moment**: 1.19 μB/f.u.

a b c (Å): 6.3609 6.3609 12.7237
angles (deg): 90.00 90.00 90.00
Space group I-4m2 (No. 119)
Symmetry-distinct sites (fractional):
1 La 0.0000 0.0000 0.0000 [2 per cell]
2 Th 0.0000 0.0000 0.5000 [2 per cell]
3 Th 0.0000 0.5000 0.2500 [2 per cell]
4 Pa 0.0000 0.5000 0.7500 [2 per cell]
5 Sb 0.0000 0.0000 0.2513 [4 per cell]
6 Sb 0.0000 0.5000 0.5042 [4 per cell]

***

No. 12
Density functional theory data (PBE) for LaTm2PaSb4 after structural relaxation.

Results
**Raw formation energy**: -0.93 eV per atom
**Magnetic moment**: 0.71 μB/f.u.

a b c (Å): 6.2518 6.2518 12.4534
angles (deg): 90.00 90.00 90.00
Space group I-4m2 (No. 119)
Symmetry-distinct sites (fractional):
1 La 0.0000 0.0000 0.0000 [2 per cell]
2 Tm 0.0000 0.0000 0.5000 [2 per cell]
3 Tm 0.0000 0.5000 0.2500 [2 per cell]
4 Pa 0.0000 0.5000 0.7500 [2 per cell]
5 Sb 0.0000 0.0000 0.2562 [4 per cell]
6 Sb 0.0000 0.5000 0.5013 [4 per cell]

***

No. 13
Density functional theory data (PBE) for La2TmPaSb4 after structural relaxation.

Results
**Raw formation energy**: -1.01 eV per atom
**Magnetic moment**: 0.79 μB/f.u.

a b c (Å): 7.7302 4.4804 7.8058
angles (deg): 90.00 109.36 90.00
Space group P2/m (No. 10)
Symmetry-distinct sites (fractional):
1 La 0.0000 0.0000 0.0000 [1 per cell]
2 La 0.5000 0.5000 0.0000 [1 per cell]
3 Tm 0.0000 0.5000 0.5000 [1 per cell]
4 Pa 0.5000 0.0000 0.5000 [1 per cell]
5 Sb 0.2444 0.0000 0.7323 [2 per cell]
6 Sb 0.2545 0.5000 0.2664 [2 per cell]

***

No. 14
Density functional theory data (PBE) for LaSc2Pa after structural relaxation.

Results
**Magnetic moment**: 0.16 μB/f.u.
**E above lowest polymorph**: 17.4 meV/atom

a b c (Å): 3.3386 3.3386 9.7466
angles (deg): 90.00 90.00 90.00
Space group P4/mmm (No. 123)
Symmetry-distinct sites (fractional):
1 La 0.0000 0.0000 0.0000 [1 per cell]
2 Sc 0.5000 0.5000 0.2741 [2 per cell]
3 Pa 0.0000 0.0000 0.5000 [1 per cell]

***

No. 15
Density functional theory data (PBE) for LaSc2Pa after structural relaxation.

Results
**Magnetic moment**: 0.00 μB/f.u.
**E above lowest polymorph**: 0.0 meV/atom

a b c (Å): 3.3147 3.3147 33.5418
angles (deg): 90.00 90.00 120.00
Space group R3m (No. 160, hexagonal axes)
Symmetry-distinct sites (fractional):
1 La 0.0000 0.0000 0.0000 [3 per cell]
2 Sc 0.0000 0.0000 0.4217 [3 per cell]
3 Sc 0.0000 0.0000 0.5791 [3 per cell]
4 Pa 0.0000 0.0000 0.8338 [3 per cell]

***

No. 16
Density functional theory data (PBE) for LaSc2Pa after structural relaxation.

Results
**Magnetic moment**: 0.00 μB/f.u.
**E above lowest polymorph**: 1.5 meV/atom

a b c (Å): 3.3594 3.3594 32.9456
angles (deg): 90.00 90.00 120.00
Space group R-3m (No. 166, hexagonal axes)
Symmetry-distinct sites (fractional):
1 La 0.0000 0.0000 0.0000 [3 per cell]
2 Sc 0.0000 0.0000 0.2436 [6 per cell]
3 Pa 0.0000 0.0000 0.5000 [3 per cell]

***

No. 17
Density functional theory data (PBE) for LaPa2Se4 after structural relaxation.

Results
**Raw formation energy**: -1.46 eV per atom
**Magnetic moment**: 3.30 μB/f.u.

a b c (Å): 4.0587 13.2453 14.1933
angles (deg): 90.00 90.00 90.00
Space group Cmcm (No. 63)
Symmetry-distinct sites (fractional):
1 La 0.0000 0.1091 0.2500 [4 per cell]
2 Pa 0.0000 0.3594 0.0597 [8 per cell]
3 Se 0.0000 0.0000 0.0000 [4 per cell]
4 Se 0.0000 0.2774 0.6295 [8 per cell]
5 Se 0.0000 0.4394 0.2500 [4 per cell]

***

No. 18
Density functional theory data (PBE) for LaPa2Se6 after structural relaxation.

Results
**Raw formation energy**: -1.49 eV per atom
**Magnetic moment**: 1.08 μB/f.u.
**E above lowest polymorph**: 0.0 meV/atom

a b c (Å): 14.1770 11.3901 7.4430
angles (deg): 90.00 115.24 90.00
Space group C2/c (No. 15)
Symmetry-distinct sites (fractional):
1 La 0.0000 0.1698 0.2500 [4 per cell]
2 Pa 0.2345 0.4223 0.9148 [8 per cell]
3 Se 0.1209 0.0483 0.6756 [8 per cell]
4 Se 0.1264 0.2644 0.0377 [8 per cell]
5 Se 0.1328 0.3883 0.5043 [8 per cell]

***

No. 19
Density functional theory data (PBE) for LaPaSe2 after structural relaxation.

Results
**Raw formation energy**: -1.56 eV per atom
**Magnetic moment**: 0.94 μB/f.u.
**E above lowest polymorph**: 0.0 meV/atom

a b c (Å): 4.1120 4.1120 21.3238
angles (deg): 90.00 90.00 120.00
Space group R-3m (No. 166, hexagonal axes)
Symmetry-distinct sites (fractional):
1 La 0.0000 0.0000 0.0000 [3 per cell]
2 Pa 0.0000 0.0000 0.5000 [3 per cell]
3 Se 0.0000 0.0000 0.2459 [6 per cell]

***

No. 20
Density functional theory data (PBE) for La5Pa2Se12 after structural relaxation.

Results
**Raw formation energy**: -1.78 eV per atom
**Magnetic moment**: 1.05 μB/f.u.

a b c (Å): 16.5972 7.9014 9.6468
angles (deg): 90.00 107.51 90.00
Space group C2/m (No. 12)
Symmetry-distinct sites (fractional):
1 La 0.0000 0.0000 0.0000 [2 per cell]
2 La 0.1882 0.5000 0.3239 [4 per cell]
3 La 0.2056 0.5000 0.8635 [4 per cell]
4 Pa 0.0000 0.2562 0.5000 [4 per cell]
5 Se 0.0026 0.5000 0.7186 [4 per cell]
6 Se 0.0039 0.0000 0.3058 [4 per cell]
7 Se 0.1490 0.2520 0.0661 [8 per cell]
8 Se 0.1740 0.2682 0.5898 [8 per cell]

***

No. 21
Density functional theory data (PBE) for LaPa3Se4 after structural relaxation.

Results
**Raw formation energy**: -1.37 eV per atom
**Magnetic moment**: 1.52 μB/f.u.

a b c (Å): 8.5424 11.6782 3.9784
angles (deg): 90.00 90.00 90.00
Space group Cmmm (No. 65)
Symmetry-distinct sites (fractional):
1 La 0.0000 0.0000 0.0000 [2 per cell]
2 Pa 0.0000 0.5000 0.0000 [2 per cell]
3 Pa 0.2500 0.2500 0.5000 [4 per cell]
4 Se 0.0000 0.2535 0.0000 [4 per cell]
5 Se 0.2427 0.5000 0.5000 [4 per cell]

***

No. 22
Density functional theory data (PBE) for LaPa2Se6 after structural relaxation.

Results
**Raw formation energy**: -1.45 eV per atom
**Magnetic moment**: 1.11 μB/f.u.
**E above lowest polymorph**: 39.3 meV/atom

a b c (Å): 14.1474 5.4590 9.4969
angles (deg): 90.00 125.95 90.00
Space group C2/m (No. 12)
Symmetry-distinct sites (fractional):
1 La 0.0000 0.0000 0.0000 [2 per cell]
2 Pa 0.1828 0.0000 0.6038 [4 per cell]
3 Se 0.0380 0.0000 0.7157 [4 per cell]
4 Se 0.1351 0.5000 0.0606 [4 per cell]
5 Se 0.2369 0.5000 0.6188 [4 per cell]